1.
DFT (GGA-PBE) results for a geometry-optimized Dy5Hg2 structure.

Output
As for the crystal system: orthorhombic. As for the formation energy: -0.214 eV per atom.

Geometry as CIF:
```
data_Dy5Hg2
_chemical_formula_sum 'Dy20 Hg8'
_symmetry_space_group_name_H-M 'I b a m'
_symmetry_Int_Tables_number 72
_symmetry_space_group_name_Hall '-I 2 2c'
_cell_length_a 8.029
_cell_length_b 14.642
_cell_length_c 6.713
_cell_angle_alpha 90.00
_cell_angle_beta 90.00
_cell_angle_gamma 90.00
loop_
_atom_site_label
_atom_site_type_symbol
_atom_site_fract_x
_atom_site_fract_y
_atom_site_fract_z
_atom_site_occupancy
Dy1 Dy 0.000 0.000 0.250 1
Dy2 Dy 0.000 0.229 0.250 1
Dy3 Dy 0.164 0.417 0.000 1
Hg1 Hg 0.220 0.373 0.500 1
```

2.
DFT (GGA-PBE) results for a geometry-optimized FeHgPd14 structure.

Output
As for the crystal system: orthorhombic. As for the formation energy: -0.017 eV per atom.

Geometry as CIF:
```
data_FeHgPd14
_chemical_formula_sum 'Fe2 Hg2 Pd28'
_symmetry_space_group_name_H-M 'A m m 2'
_symmetry_Int_Tables_number 38
_cell_length_a 9.157
_cell_length_b 5.637
_cell_length_c 9.650
_cell_angle_alpha 90.00
_cell_angle_beta 90.00
_cell_angle_gamma 90.00
loop_
_symmetry_equiv_pos_as_xyz
'x,y,z'
'-x,-y,z'
'-x,y,z'
'x,-y,z'
'x,y+1/2,z+1/2'
'-x,-y+1/2,z+1/2'
'-x,y+1/2,z+1/2'
'x,-y+1/2,z+1/2'
loop_
_atom_site_label
_atom_site_type_symbol
_atom_site_fract_x
_atom_site_fract_y
_atom_site_fract_z
_atom_site_occupancy
Fe1 Fe 0.000 0.000 0.000 1
Hg1 Hg 0.000 0.000 0.502 1
Pd1 Pd 0.000 0.249 0.253 1
Pd2 Pd 0.245 0.000 0.835 1
Pd3 Pd 0.247 0.245 0.083 1
Pd4 Pd 0.254 0.000 0.333 1
Pd5 Pd 0.500 0.000 0.165 1
Pd6 Pd 0.500 0.000 0.665 1
Pd7 Pd 0.500 0.249 0.915 1
```

3.
DFT (GGA-PBE) results for a geometry-optimized Pm4BeGe2 structure.

Output
As for the crystal system: tetragonal. As for the formation energy: -0.172 eV per atom.

Geometry as CIF:
```
data_Pm4BeGe2
_chemical_formula_sum 'Pm8 Be2 Ge4'
_symmetry_space_group_name_H-M 'I 4/m m m'
_symmetry_Int_Tables_number 139
_symmetry_space_group_name_Hall '-I 4 2'
_cell_length_a 4.913
_cell_length_b 4.913
_cell_length_c 16.098
_cell_angle_alpha 90.00
_cell_angle_beta 90.00
_cell_angle_gamma 90.00
loop_
_atom_site_label
_atom_site_type_symbol
_atom_site_fract_x
_atom_site_fract_y
_atom_site_fract_z
_atom_site_occupancy
Pm1 Pm 0.000 0.000 0.181 1
Pm2 Pm 0.000 0.500 0.000 1
Be1 Be 0.000 0.000 0.000 1
Ge1 Ge 0.000 0.000 0.367 1
```

4.
DFT (GGA-PBE) results for a geometry-optimized NpHgBr6 structure.

Output
As for the crystal system: trigonal. The calculation puts the formation energy (no corrections) at -0.87 eV per atom.

Geometry as CIF:
```
data_NpHgBr6
_chemical_formula_sum 'Np3 Hg3 Br18'
_symmetry_space_group_name_H-M 'R -3'
_symmetry_Int_Tables_number 148
_symmetry_space_group_name_Hall '-R 3'
_cell_length_a 7.0206
_cell_length_b 7.0206
_cell_length_c 19.3660
_cell_angle_alpha 90.00
_cell_angle_beta 90.00
_cell_angle_gamma 120.00
loop_
_atom_site_label
_atom_site_type_symbol
_atom_site_fract_x
_atom_site_fract_y
_atom_site_fract_z
_atom_site_occupancy
Np1 Np 0.0000 0.0000 0.0000 1
Hg1 Hg 0.0000 0.0000 0.5000 1
Br1 Br 0.0008 0.6785 0.0822 1
```

5.
DFT (GGA-PBE) results for a geometry-optimized Ce2PmMoN4 structure.

Output
As for the crystal system: orthorhombic. The calculation puts the formation energy (no corrections) at -1.09 eV per atom.

Geometry as CIF:
```
data_Ce2PmMoN4
_chemical_formula_sum 'Ce8 Pm4 Mo4 N16'
_symmetry_space_group_name_H-M 'C m c m'
_symmetry_Int_Tables_number 63
_symmetry_space_group_name_Hall '-C 2c 2'
_cell_length_a 3.478
_cell_length_b 11.967
_cell_length_c 11.792
_cell_angle_alpha 90.00
_cell_angle_beta 90.00
_cell_angle_gamma 90.00
loop_
_atom_site_label
_atom_site_type_symbol
_atom_site_fract_x
_atom_site_fract_y
_atom_site_fract_z
_atom_site_occupancy
Ce1 Ce 0.000 0.132 0.044 1
Pm1 Pm 0.000 0.377 0.250 1
Mo1 Mo 0.000 0.359 0.750 1
N1 N 0.000 0.047 0.250 1
N2 N 0.000 0.234 0.630 1
N3 N 0.000 0.500 0.000 1
```

6.
DFT (GGA-PBE) results for a geometry-optimized SrLiAgPt structure.

Output
As for the crystal system: monoclinic. As for the formation energy: -0.470 eV per atom.

Geometry as CIF:
```
data_SrLiAgPt
_chemical_formula_sum 'Sr2 Li2 Ag2 Pt2'
_symmetry_space_group_name_H-M 'C 1 m 1'
_symmetry_Int_Tables_number 8
_cell_length_a 7.808
_cell_length_b 4.514
_cell_length_c 5.845
_cell_angle_alpha 90.00
_cell_angle_beta 116.51
_cell_angle_gamma 90.00
loop_
_symmetry_equiv_pos_as_xyz
'x,y,z'
'x,-y,z'
'x+1/2,y+1/2,z'
'x+1/2,-y+1/2,z'
loop_
_atom_site_label
_atom_site_type_symbol
_atom_site_fract_x
_atom_site_fract_y
_atom_site_fract_z
_atom_site_occupancy
Sr1 Sr 0.000 0.000 0.000 1
Li1 Li 0.016 0.500 0.548 1
Ag1 Ag 0.299 0.500 0.397 1
Pt1 Pt 0.207 0.000 0.622 1
```

7.
DFT (GGA-PBE) results for a geometry-optimized TaAl2As structure.

Output
As for the crystal system: trigonal. As for the formation energy: 0.005 eV per atom.

Geometry as CIF:
```
data_TaAl2As
_chemical_formula_sum 'Ta3 Al6 As3'
_symmetry_space_group_name_H-M 'R -3 m'
_symmetry_Int_Tables_number 166
_symmetry_space_group_name_Hall '-R 3 2"'
_cell_length_a 3.0282
_cell_length_b 3.0282
_cell_length_c 26.0186
_cell_angle_alpha 90.00
_cell_angle_beta 90.00
_cell_angle_gamma 120.00
loop_
_atom_site_label
_atom_site_type_symbol
_atom_site_fract_x
_atom_site_fract_y
_atom_site_fract_z
_atom_site_occupancy
Ta1 Ta 0.0000 0.0000 0.0000 1
Al1 Al 0.0000 0.0000 0.2492 1
As1 As 0.0000 0.0000 0.5000 1
```

8.
DFT (GGA-PBE) results for a geometry-optimized LiMn2Al structure.

Output
As for the crystal system: orthorhombic. As for the formation energy: 0.117 eV per atom.

Geometry as CIF:
```
data_LiMn2Al
_chemical_formula_sum 'Li2 Mn4 Al2'
_symmetry_space_group_name_H-M 'I m m m'
_symmetry_Int_Tables_number 71
_symmetry_space_group_name_Hall '-I 2 2'
_cell_length_a 2.888
_cell_length_b 3.893
_cell_length_c 8.267
_cell_angle_alpha 90.00
_cell_angle_beta 90.00
_cell_angle_gamma 90.00
loop_
_atom_site_label
_atom_site_type_symbol
_atom_site_fract_x
_atom_site_fract_y
_atom_site_fract_z
_atom_site_occupancy
Li1 Li 0.000 0.000 0.000 1
Mn1 Mn 0.000 0.500 0.251 1
Al1 Al 0.000 0.000 0.500 1
```

| no. | mass density (g/cm³) |
| --- | --- |
| 1 | 10.21 |
| 2 | 11.64 |
| 3 | 6.28 |
| 4 | 5.53 |
| 5 | 7.81 |
| 6 | 7.16 |
| 7 | 7.47 |
| 8 | 5.14 |